# 1
# DySi2Ag2, relaxed, DFT GGA-PBE
data_DySi2Ag2
_chemical_formula_sum 'Dy2 Si4 Ag4'
_space_group_name_H-M_alt 'I 4/m m m'
_space_group_IT_number 139
_space_group_name_Hall '-I 4 2'
_cell_length_a 4.141
_cell_length_b 4.141
_cell_length_c 10.755
_cell_angle_alpha 90.00
_cell_angle_beta 90.00
_cell_angle_gamma 90.00
loop_
_atom_site_label
_atom_site_fract_x
_atom_site_fract_y
_atom_site_fract_z
Dy1 0.000 0.000 0.000
Si1 0.000 0.000 0.394
Ag1 0.000 0.500 0.250
# E, eV/atom: -4.61


# 2
# HfCd2Sb, relaxed, DFT GGA-PBE
data_HfCd2Sb
_chemical_formula_sum 'Hf4 Cd8 Sb4'
_space_group_name_H-M_alt 'F -4 3 m'
_space_group_IT_number 216
_space_group_name_Hall 'F -4 2 3'
_cell_length_a 7.145
_cell_length_b 7.145
_cell_length_c 7.145
_cell_angle_alpha 90.00
_cell_angle_beta 90.00
_cell_angle_gamma 90.00
loop_
_atom_site_label
_atom_site_fract_x
_atom_site_fract_y
_atom_site_fract_z
Hf1 0.000 0.000 0.000
Cd1 0.000 0.000 0.500
Cd2 0.250 0.250 0.250
Sb1 0.250 0.250 0.750
# E, eV/atom: -3.80